No. 1
First-principles (PBE) data for AlTlAg after structural relaxation, as listed in Alexandria.

The space group is P-6m2 (No. 187) and the conventional cell measures 4.6489, 4.6489 and 3.6511 Å, with angles of 90.00, 90.00 and 120.00 degrees. The distinct sites, in fractional coordinates, are Al at (0.0000, 0.0000, 0.0000), Tl at (0.6667, 0.3333, 0.5000) and Ag at (0.3333, 0.6667, 0.0000).

As for the density of states at the Fermi level: 0.82 states/eV/f.u. Its crystal system is hexagonal. The calculation puts the formation energy at 0.62 eV/f.u.


No. 2
First-principles (PBE) data for U4ZnPt15 after structural relaxation, as listed in Alexandria.

The space group is P4/mmm (No. 123) and the conventional cell measures 4.1364, 4.1364 and 20.3890 Å, with angles of 90.00, 90.00 and 90.00 degrees. The distinct sites, in fractional coordinates, are U at (0.0000, 0.0000, 0.1032), U at (0.0000, 0.0000, 0.3099), Zn at (0.0000, 0.0000, 0.5000), Pt at (0.0000, 0.5000, 0.0000), Pt at (0.0000, 0.5000, 0.2057), Pt at (0.0000, 0.5000, 0.4060), Pt at (0.5000, 0.5000, 0.1025), Pt at (0.5000, 0.5000, 0.3062) and Pt at (0.5000, 0.5000, 0.5000).

As for the density of states at the Fermi level: 26.14 states/eV/f.u. Its crystal system is tetragonal. The calculation puts the formation energy at -13.34 eV/f.u.


No. 3
First-principles (PBE) data for Nd12SmMg3 after structural relaxation, as listed in Alexandria.

The space group is P4/mmm (No. 123) and the conventional cell measures 5.0704, 5.0704 and 20.4186 Å, with angles of 90.00, 90.00 and 90.00 degrees. The distinct sites, in fractional coordinates, are Nd at (0.0000, 0.0000, 0.0000), Nd at (0.0000, 0.0000, 0.2462), Nd at (0.0000, 0.0000, 0.5000), Nd at (0.0000, 0.5000, 0.1232), Nd at (0.0000, 0.5000, 0.3711), Sm at (0.5000, 0.5000, 0.5000), Mg at (0.5000, 0.5000, 0.0000) and Mg at (0.5000, 0.5000, 0.2455).

As for the density of states at the Fermi level: 26.30 states/eV/f.u. Its crystal system is tetragonal. The calculation puts the formation energy at 0.03 eV/f.u.


No. 4
First-principles (PBE) data for CeNdTeS2 after structural relaxation, as listed in Alexandria.

The space group is I4mm (No. 107) and the conventional cell measures 4.5454, 4.5454 and 13.9873 Å, with angles of 90.00, 90.00 and 90.00 degrees. The distinct sites, in fractional coordinates, are Ce at (0.0000, 0.0000, 0.0000), Nd at (0.0000, 0.0000, 0.7208), Te at (0.0000, 0.0000, 0.3600) and S at (0.0000, 0.5000, 0.1093).

As for the density of states at the Fermi level: 4.95 states/eV/f.u. For the uncorrected formation energy, the calculation gives -1.62 eV per atom. Its crystal system is tetragonal.


Repeat the third record exactly.
First-principles (PBE) data for Nd12SmMg3 after structural relaxation, as listed in Alexandria.

The space group is P4/mmm (No. 123) and the conventional cell measures 5.0704, 5.0704 and 20.4186 Å, with angles of 90.00, 90.00 and 90.00 degrees. The distinct sites, in fractional coordinates, are Nd at (0.0000, 0.0000, 0.0000), Nd at (0.0000, 0.0000, 0.2462), Nd at (0.0000, 0.0000, 0.5000), Nd at (0.0000, 0.5000, 0.1232), Nd at (0.0000, 0.5000, 0.3711), Sm at (0.5000, 0.5000, 0.5000), Mg at (0.5000, 0.5000, 0.0000) and Mg at (0.5000, 0.5000, 0.2455).

As for the density of states at the Fermi level: 26.30 states/eV/f.u. Its crystal system is tetragonal. The calculation puts the formation energy at 0.03 eV/f.u.